(1)
A plane-wave DFT calculation with PBE was carried out for Ni2W after structural relaxation.

Computed properties:
* size of the total moment: 0.0 μB/f.u.
* volume: 17.05 Å³/atom
* formation energy from the elements: 1.0382 eV per atom

abc: 6.3224 6.3224 2.5585
angles: 90.00 90.00 90.00
Space group P4_2/mnm (No. 136)
Unique sites:
Ni 0.2394 0.2394 0.0000
W 0.0000 0.0000 0.5000



(2)
A plane-wave DFT calculation with PBE was carried out for Ni2W after structural relaxation.

Computed properties:
* size of the total moment: 0.1 μB/f.u.
* volume: 12.89 Å³/atom
* formation energy from the elements: 0.1859 eV per atom

abc: 4.7370 4.7370 15.9186
angles: 90.00 90.00 120.00
Space group P6_3/mmc (No. 194)
Unique sites:
Ni 0.0000 0.5000 0.0000
Ni 0.1602 0.3204 0.2500
Ni 0.3333 0.6667 0.6586
W 0.0000 0.0000 0.0870
W 0.3333 0.6667 0.1284



(3)
A plane-wave DFT calculation with PBE was carried out for Ni7W6 after structural relaxation.

Computed properties:
* size of the total moment: 0.1 μB/f.u.
* volume: 12.92 Å³/atom
* formation energy from the elements: -0.0157 eV per atom

abc: 4.7470 4.7470 25.8187
angles: 90.00 90.00 120.00
Space group R-3m (No. 166, hexagonal axes)
Unique sites:
Ni 0.0000 0.0000 0.0000
Ni 0.0021 0.5010 0.4101
W 0.0000 0.0000 0.1684
W 0.0000 0.0000 0.3470
W 0.0000 0.0000 0.4519